Record 1
Li2IrOs after structural relaxation, computed with GGA-PBE. Values from VASP.

Structure (Quantum ESPRESSO input):
```
&SYSTEM
  ibrav = 0, nat = 4, ntyp = 3
/
ATOMIC_SPECIES
Ir 192.22 Ir.upf
Li 6.94 Li.upf
Os 190.23 Os.upf
ATOMIC_POSITIONS angstrom
Ir -1.237 2.180 1.283
Li 0.000 0.000 0.000
Li 1.269 2.183 0.000
Os 2.506 0.003 1.283
CELL_PARAMETERS angstrom
5.013 0.005 0.000
-2.474 4.360 0.000
0.000 0.000 2.565
```

Results
Calculated formation energy, eV per atom: 0.20
Energy relative to the lowest polymorph listed for this composition, eV/atom: 0.270
Total magnetic moment, μB per cell: 0.000

Record 2
Li2IrOs after structural relaxation, computed with GGA-PBE. Values from VASP.

Structure (Quantum ESPRESSO input):
```
&SYSTEM
  ibrav = 0, nat = 4, ntyp = 3
/
ATOMIC_SPECIES
Ir 192.22 Ir.upf
Li 6.94 Li.upf
Os 190.23 Os.upf
ATOMIC_POSITIONS angstrom
Ir 1.272 1.272 6.491
Li 0.000 0.000 8.601
Li 0.000 0.000 4.382
Os 1.272 1.272 2.164
CELL_PARAMETERS angstrom
2.545 0.000 0.000
0.000 2.545 0.000
0.000 0.000 8.655
```

Results
Calculated formation energy, eV per atom: 0.21
Energy relative to the lowest polymorph listed for this composition, eV/atom: 0.277
Total magnetic moment, μB per cell: 0.002

Record 3
LiIrOs2 after structural relaxation, computed with GGA-PBE. Values from VASP.

Structure (Quantum ESPRESSO input):
```
&SYSTEM
  ibrav = 0, nat = 4, ntyp = 3
/
ATOMIC_SPECIES
Ir 192.22 Ir.upf
Li 6.94 Li.upf
Os 190.23 Os.upf
ATOMIC_POSITIONS angstrom
Ir -0.569 0.175 2.536
Li 0.563 -1.621 4.971
Os 2.295 -3.358 4.706
Os 1.102 -2.028 2.597
CELL_PARAMETERS angstrom
-2.270 2.145 2.638
-0.949 -2.274 1.032
3.213 -1.317 3.837
```

Results
Calculated formation energy, eV per atom: 0.22
Energy relative to the lowest polymorph listed for this composition, eV/atom: 0.102
Total magnetic moment, μB per cell: 0.000

Record 4
LiIrOs2 after structural relaxation, computed with GGA-PBE. Values from VASP.

Structure (Quantum ESPRESSO input):
```
&SYSTEM
  ibrav = 0, nat = 4, ntyp = 3
/
ATOMIC_SPECIES
Ir 192.22 Ir.upf
Li 6.94 Li.upf
Os 190.23 Os.upf
ATOMIC_POSITIONS angstrom
Ir 2.406 0.006 1.341
Li -1.061 2.159 1.341
Os 0.000 0.000 0.000
Os 1.341 2.159 -0.005
CELL_PARAMETERS angstrom
4.808 0.006 -0.005
-2.126 4.313 -0.005
0.004 0.006 2.688
```

Results
Calculated formation energy, eV per atom: 0.25
Energy relative to the lowest polymorph listed for this composition, eV/atom: 0.140
Total magnetic moment, μB per cell: 0.000